Entry from the Alexandria database: U16N25 at its PBEsol-relaxed geometry (SCAN).

## Properties
- Calculated density: 11.8 g/cm3
- Uncorrected energy: -1.748 Ha/atom
- Space group: R3 (146)
- Size of the total moment: 21.07 μB per cell
- Formation energy without anion corrections: -1.508 eV/atom

abc: 9.1257 9.1257 9.1257
angles: 109.52 109.52 109.52
Fractional positions:
U 0.0000 0.0000 0.0000
U 0.9996 0.7706 0.2523
U 0.0251 0.5211 0.5206
U 0.0407 0.2714 0.7922
U 0.2523 0.9996 0.7706
U 0.2688 0.2878 0.5414
U 0.2714 0.7922 0.0407
U 0.2878 0.5414 0.2688
U 0.5141 0.7698 0.7476
U 0.5206 0.0251 0.5211
U 0.5211 0.5206 0.0251
U 0.5414 0.2688 0.2878
U 0.7476 0.5141 0.7698
U 0.7698 0.7476 0.5141
U 0.7706 0.2523 0.9996
U 0.7922 0.0407 0.2714
N 0.0021 0.0062 0.7528
N 0.0062 0.7528 0.0021
N 0.0206 0.2838 0.5465
N 0.0262 0.7567 0.4995
N 0.0418 0.2797 0.0438
N 0.0438 0.0418 0.2797
N 0.2594 0.5146 0.4904
N 0.2589 0.7873 0.2876
N 0.2640 0.7561 0.7835
N 0.2797 0.0438 0.0418
N 0.2838 0.5465 0.0206
N 0.2876 0.2589 0.7873
N 0.4904 0.2594 0.5146
N 0.4995 0.0262 0.7567
N 0.5081 0.5388 0.7885
N 0.5146 0.4904 0.2594
N 0.5388 0.7885 0.5081
N 0.5465 0.0206 0.2838
N 0.7528 0.0021 0.0062
N 0.7540 0.7540 0.7540
N 0.7561 0.7835 0.2640
N 0.7567 0.4995 0.0262
N 0.7835 0.2640 0.7561
N 0.7873 0.2876 0.2589
N 0.7885 0.5081 0.5388

=====

Entry from the Alexandria database: UN at its PBEsol-relaxed geometry (SCAN).

## Properties
- Calculated density: 15.1 g/cm3
- Uncorrected energy: -2.120 Ha/atom
- Space group: Fm-3m (225)
- Size of the total moment: 5.08 μB per cell
- Formation energy without anion corrections: -1.277 eV/atom

abc: 4.8064 4.8064 4.8064
angles: 90.00 90.00 90.00
Fractional positions:
U 0.0000 0.0000 0.0000
U 0.0000 0.5000 0.5000
U 0.5000 0.0000 0.5000
U 0.5000 0.5000 0.0000
N 0.0000 0.0000 0.5000
N 0.0000 0.5000 0.0000
N 0.5000 0.0000 0.0000
N 0.5000 0.5000 0.5000

=====

Entry from the Alexandria database: ZrUN2 at its PBEsol-relaxed geometry (SCAN).

## Properties
- Calculated density: 11.6 g/cm3
- Uncorrected energy: -1.465 Ha/atom
- Space group: R-3m (166)
- Size of the total moment: 4.04 μB per cell
- Formation energy without anion corrections: -1.657 eV/atom

abc: 3.2701 3.2701 16.5028
angles: 90.00 90.00 120.00
Fractional positions:
Zr 0.0000 0.0000 0.0000
Zr 0.3333 0.6667 0.6667
Zr 0.6667 0.3333 0.3333
U 0.0000 0.0000 0.5000
U 0.3333 0.6667 0.1667
U 0.6667 0.3333 0.8333
N 0.0000 0.0000 0.2544
N 0.0000 0.0000 0.7456
N 0.3333 0.6667 0.4122
N 0.3333 0.6667 0.9211
N 0.6667 0.3333 0.0789
N 0.6667 0.3333 0.5878

=====

Entry from the Alexandria database: V2N3 at its PBEsol-relaxed geometry (SCAN).

## Properties
- Calculated density: 5.8 g/cm3
- Uncorrected energy: -0.496 Ha/atom
- Space group: P-3m1 (164)
- Size of the total moment: 0.04 μB per cell
- Formation energy without anion corrections: -0.934 eV/atom

abc: 2.7817 2.7817 6.1983
angles: 90.00 90.00 120.00
Fractional positions:
V 0.3333 0.6667 0.1978
V 0.6667 0.3333 0.8022
N 0.0000 0.0000 0.0000
N 0.0000 0.0000 0.3924
N 0.0000 0.0000 0.6076

=====

Entry from the Alexandria database: V8N at its PBEsol-relaxed geometry (SCAN).

## Properties
- Calculated density: 6.4 g/cm3
- Uncorrected energy: -0.623 Ha/atom
- Space group: P4_2/mnm (136)
- Size of the total moment: 0.00 μB per cell
- Formation energy without anion corrections: -0.387 eV/atom

abc: 8.6243 8.6243 2.9362
angles: 90.00 90.00 90.00
Fractional positions:
V 0.1121 0.1121 0.0000
V 0.1147 0.3734 0.5000
V 0.1266 0.6147 0.0000
V 0.1576 0.8424 0.5000
V 0.3424 0.3424 0.0000
V 0.3734 0.1147 0.5000
V 0.3853 0.8734 0.0000
V 0.3879 0.6121 0.5000
V 0.6121 0.3879 0.5000
V 0.6147 0.1266 0.0000
V 0.6266 0.8853 0.5000
V 0.6576 0.6576 0.0000
V 0.8424 0.1576 0.5000
V 0.8734 0.3853 0.0000
V 0.8853 0.6266 0.5000
V 0.8879 0.8879 0.0000
N 0.0000 0.0000 0.5000
N 0.5000 0.5000 0.0000

=====

Entry from the Alexandria database: VZn2N3 at its PBEsol-relaxed geometry (SCAN).

## Properties
- Calculated density: 5.4 g/cm3
- Uncorrected energy: -0.465 Ha/atom
- Space group: Cmc2_1 (36)
- Size of the total moment: 0.00 μB per cell
- Formation energy without anion corrections: -0.600 eV/atom

abc: 5.4707 5.4707 5.2257
angles: 90.00 90.00 60.70
Fractional positions:
V 0.1619 0.8381 0.5000
V 0.8381 0.1619 0.0000
Zn 0.1690 0.4980 0.9873
Zn 0.4980 0.1690 0.4873
Zn 0.5020 0.8310 0.9873
Zn 0.8310 0.5020 0.4873
N 0.1469 0.8531 0.1441
N 0.1673 0.5271 0.6025
N 0.4729 0.8327 0.6025
N 0.5271 0.1673 0.1025
N 0.8327 0.4729 0.1025
N 0.8531 0.1469 0.6441

=====

Please write out number 3 again, unchanged.
Entry from the Alexandria database: ZrUN2 at its PBEsol-relaxed geometry (SCAN).

## Properties
- Calculated density: 11.6 g/cm3
- Uncorrected energy: -1.465 Ha/atom
- Space group: R-3m (166)
- Size of the total moment: 4.04 μB per cell
- Formation energy without anion corrections: -1.657 eV/atom

abc: 3.2701 3.2701 16.5028
angles: 90.00 90.00 120.00
Fractional positions:
Zr 0.0000 0.0000 0.0000
Zr 0.3333 0.6667 0.6667
Zr 0.6667 0.3333 0.3333
U 0.0000 0.0000 0.5000
U 0.3333 0.6667 0.1667
U 0.6667 0.3333 0.8333
N 0.0000 0.0000 0.2544
N 0.0000 0.0000 0.7456
N 0.3333 0.6667 0.4122
N 0.3333 0.6667 0.9211
N 0.6667 0.3333 0.0789
N 0.6667 0.3333 0.5878